Computed, not measured: an optimized crystal structure of La2ZrCd at the PBE-GGA level of DFT.

Results
Size of the total moment = 0.001 μB/f.u.
Final energy = -4.839 eV/atom
Space group = No. 123
ΔE_f = -0.04 eV/f.u.

Lattice parameters (Å, degrees): 5.7620 5.7620 3.5524 90.00 90.00 90.00
With the nearest neighbours (Å) after each atom.
Fractional coordinates of all 4 atoms:
Cd (0.0000, 0.5000, 0.5000)  8 La 3.38, 2 Cd 3.55
La (0.0000, 0.0000, 0.0000)  4 Cd 3.38, 4 Zr 3.38, 2 La 3.55
La (0.5000, 0.5000, 0.0000)  4 Zr 3.38, 4 Cd 3.38, 2 La 3.55
Zr (0.5000, 0.0000, 0.5000)  8 La 3.38, 2 Zr 3.55